# 1
# ZrSc6In5

A relaxed ZrSc6In5 crystal (PBE, the Alexandria database).

Calculated values
DFT total energy   -5.39 eV/atom
ΔH_f (0 K)   -36 kJ per mole of atoms
N(E_F)   11.56 states/eV/f.u.

a b c (Å): 4.6511 8.3058 14.1258
angles (deg): 90.00 90.00 90.00
Last column: nearest neighbours and their distance in Å.
Space group Immm (No. 71)
One atom of each set of equivalent atoms:
1 Zr 0.0000 0.0000 0.0000  8 Sc 3.16-3.17, 4 In 3.20
2 Sc 0.0000 0.2408 0.5000  6 In 3.07-3.14, 2 Zr 3.17, 4 Sc 3.31
3 Sc 0.0000 0.2532 0.1666  7 In 3.10-3.24, 1 Zr 3.16, 4 Sc 3.31
4 In 0.0000 0.0000 0.3285  8 Sc 3.10-3.14, 4 In 3.36-3.37
5 In 0.0000 0.5000 0.0000  8 Sc 3.07-3.12, 4 In 3.36
6 In 0.0000 0.5000 0.3440  8 Sc 3.08-3.24, 2 Zr 3.20, 2 In 3.37

---

# 2
# Zr2Sc6In

A relaxed Zr2Sc6In crystal (PBE, the Alexandria database).

Calculated values
DFT total energy   -6.44 eV/atom
ΔH_f (0 K)   -1 kJ per mole of atoms
N(E_F)   14.21 states/eV/f.u.

a b c (Å): 15.7041 3.1819 10.7240
angles (deg): 90.00 125.91 90.00
Last column: nearest neighbours and their distance in Å.
Space group C2/m (No. 12)
One atom of each set of equivalent atoms:
1 Zr 0.1789 0.0000 0.3382  5 Sc 3.02-3.34, 4 Zr 3.18-3.24
2 Sc 0.0469 0.5000 0.7545  1 In 3.12, 9 Sc 3.16-3.34, 2 Zr 3.46
3 Sc 0.1132 0.0000 0.5521  6 Sc 2.93-3.18, 3 Zr 3.02-3.17
4 Sc 0.2280 0.5000 0.1130  4 Sc 2.93-3.18, 1 In 3.03
5 In 0.0000 0.5000 0.0000  4 Sc 3.03-3.12, 2 In 3.18

---

# 3
# ZrSc9In2

A relaxed ZrSc9In2 crystal (PBE, the Alexandria database).

Calculated values
DFT total energy   -6.11 eV/atom
ΔH_f (0 K)   -18 kJ per mole of atoms
N(E_F)   14.23 states/eV/f.u.

a b c (Å): 4.5243 4.5243 13.7144
angles (deg): 90.00 90.00 90.00
Last column: nearest neighbours and their distance in Å.
Space group P4/mmm (No. 123)
One atom of each set of equivalent atoms:
1 Zr 0.0000 0.0000 0.0000  12 Sc 3.20-3.21
2 Sc 0.0000 0.5000 0.1658  8 Sc 3.20-3.26, 2 Zr 3.21, 2 In 3.24
3 Sc 0.0000 0.5000 0.5000  8 Sc 3.18-3.20, 4 In 3.20
4 Sc 0.5000 0.5000 0.0000  4 Zr 3.20, 8 Sc 3.21
5 Sc 0.5000 0.5000 0.3369  8 Sc 3.18-3.26, 4 In 3.20
6 In 0.0000 0.0000 0.3351  12 Sc 3.20-3.24

---

# 4
# Zr2Sc7In3

A relaxed Zr2Sc7In3 crystal (PBE, the Alexandria database).

Calculated values
DFT total energy   -5.89 eV/atom
ΔH_f (0 K)   -9 kJ per mole of atoms
N(E_F)   12.83 states/eV/f.u.

a b c (Å): 5.1699 3.1702 17.2494
angles (deg): 90.00 95.86 90.00
Last column: nearest neighbours and their distance in Å.
Space group P2/m (No. 10)
One atom of each set of equivalent atoms:
1 Zr 0.1797 0.0000 0.2950  3 Sc 2.74-3.02
2 Sc 0.1344 0.5000 0.1450  2 In 2.98, 2 Zr 3.02, 7 Sc 3.14-3.29
3 Sc 0.2344 0.0000 0.4546  1 Zr 2.74, 2 Sc 3.02
4 Sc 0.3517 0.0000 0.8033  2 Zr 3.08-3.10, 6 Sc 3.14-3.18, 2 In 3.43
5 Sc 0.5000 0.5000 0.0000  4 In 3.03, 4 Sc 3.17-3.29
6 In 0.0000 0.0000 0.0000  8 Sc 2.98-3.03, 2 In 3.17
7 In 0.2930 0.5000 0.6257  2 In 3.17, 4 Zr 3.32, 8 Sc 3.33-3.43

---

# 5
# ZrSc2In2

A relaxed ZrSc2In2 crystal (PBE, the Alexandria database).

Calculated values
DFT total energy   -5.47 eV/atom
ΔH_f (0 K)   -13 kJ per mole of atoms
E above lowest polymorph   0.116 eV per atom
N(E_F)   3.93 states/eV/f.u.

a b c (Å): 8.5448 8.5448 3.1722
angles (deg): 90.00 90.00 90.00
Last column: nearest neighbours and their distance in Å.
Space group P4/mbm (No. 127)
One atom of each set of equivalent atoms:
1 Zr 0.0000 0.0000 0.0000  2 Zr 3.17, 4 Sc 3.39, 8 In 3.53
2 Sc 0.1220 0.3780 0.0000  6 In 2.90-3.04, 3 Sc 2.95-3.17
3 In 0.1766 0.6766 0.5000  6 Sc 2.90-3.04, 2 In 3.17

---

# 6
# Zr3Sc6In

A relaxed Zr3Sc6In crystal (PBE, the Alexandria database).

Calculated values
DFT total energy   -6.72 eV/atom
ΔH_f (0 K)   -8 kJ per mole of atoms
N(E_F)   9.30 states/eV/f.u.

a b c (Å): 10.1599 3.1965 15.3427
angles (deg): 90.00 108.59 90.00
Last column: nearest neighbours and their distance in Å.
Space group P2_1/m (No. 11)
One atom of each set of equivalent atoms:
1 Zr 0.0314 0.2500 0.0991  5 Sc 3.08-3.34, 6 Zr 3.15-3.31
2 Zr 0.1462 0.2500 0.8010  5 Sc 2.89-3.20, 4 Zr 3.15-3.20
3 Zr 0.2541 0.7500 0.4979  7 Sc 2.88-3.22, 2 Zr 3.20
4 Sc 0.0373 0.7500 0.5987  5 Zr 3.07-3.35, 8 Sc 3.20-3.29
5 Sc 0.1473 0.7500 0.3001  2 Zr 2.88-2.89, 1 In 3.03, 4 Sc 3.20-3.22
6 Sc 0.2518 0.2500 0.0000  4 Zr 2.90-3.22, 3 Sc 3.13-3.20, 2 In 3.23
7 Sc 0.3341 0.2500 0.6833  3 Zr 3.02-3.13, 1 In 3.15, 6 Sc 3.20-3.34
8 Sc 0.4303 0.7500 0.8896  7 Sc 3.13-3.40, 2 Zr 3.20, 2 In 3.29
9 Sc 0.4411 0.2500 0.3981  3 Zr 3.00-3.22, 6 Sc 3.20-3.34
10 In 0.3519 0.7500 0.1932  8 Sc 3.03-3.38, 2 In 3.20